PuIrPbO6: relaxed, PBE.

Summary:
Raw formation energy: -157.51 kJ/mol of atoms
Crystal system: trigonal
Total DFT energy (no corrections): -7.927 eV per atom

a = 5.296 Å, b = 5.296 Å, c = 11.336 Å
α = 90.00°, β = 90.00°, γ = 120.00°
Sites, in units of the cell vectors:
O 0.354 0.990 0.148
Pu 0.667 0.333 0.250
O 0.636 0.990 0.352
O 0.364 0.010 0.648
O 0.990 0.354 0.648
Ir 0.667 0.333 0.750
O 0.364 0.354 0.852
O 0.646 0.010 0.852
O 0.646 0.636 0.648
Pb 0.000 0.000 0.000
Pb 0.000 0.000 0.500
O 0.010 0.364 0.148
O 0.990 0.636 0.852
Ir 0.333 0.667 0.250
Pu 0.333 0.667 0.750
O 0.354 0.364 0.352
O 0.010 0.646 0.352
O 0.636 0.646 0.148